Below is crystalline ZrCdW2 at its relaxed geometry, with properties calculated at the PBE level.

The structure in POSCAR format:
```
ZrCdW2
1.0
5.6813 -0.0093 0.0141
-2.7469 4.9731 0.0141
0.5042 0.8530 2.5902
Cd W Zr
1 2 1
Cartesian
-1.1213 2.9130 1.3021 Cd
0.0000 0.0000 0.0000 W
1.4672 2.4819 0.0141 W
3.0928 0.4218 1.3021 Zr
```

Output
ΔH_f (0 K): 9.01 kcal/mol of atoms
Symmetry: C2/m, No. 12
Fermi-level density of states: 2.9 states/eV/f.u.